A relaxed Nd2BePd crystal, computed with PBE.

Values from the calculation:
DFT total energy (eV/atom): -4.88
Excess energy over the best structure of this formula in the dataset (eV/atom): 0.000
Formation energy from the elements (eV/f.u.): -1.047

a = 3.624 Å, b = 3.624 Å, c = 6.990 Å
α = 90.00°, β = 90.00°, γ = 90.00°
Space group P4/mmm (No. 123)
Inequivalent atoms, fractional coordinates:
Nd: 0.000 0.000 0.243 [2 per cell]
Be: 0.500 0.500 0.000 [1 per cell]
Pd: 0.500 0.500 0.500 [1 per cell]